# PBE In2PPt, optimized geometry
# Total moment = 0.00 μB per formula unit
# DFT formation energy = 111 meV per atom
# Space-group type = I4/mmm (139)
data_In2PPt
_chemical_formula_sum 'In2 P1 Pt1'
_cell_length_a 5.0443
_cell_length_b 5.0443
_cell_length_c 5.0443
_cell_angle_alpha 128.22
_cell_angle_beta 128.22
_cell_angle_gamma 76.26
_space_group_name_H-M_alt 'P 1'
_space_group_IT_number 1
_space_group_name_Hall 'P 1'
loop_
_atom_site_label
_atom_site_type_symbol
_atom_site_fract_x
_atom_site_fract_y
_atom_site_fract_z
In1 In 0.0000 0.0000 0.0000
In2 In 0.5000 0.5000 0.0000
Pt1 Pt 0.7500 0.2500 0.5000
P1 P 0.2500 0.7500 0.5000

# PBE InPPt, optimized geometry
# Total moment = 0.00 μB per formula unit
# DFT formation energy = -72 meV per atom
# Space-group type = I4mm (107)
data_InPPt
_chemical_formula_sum 'In1 P1 Pt1'
_cell_length_a 6.1647
_cell_length_b 6.1649
_cell_length_c 3.2343
_cell_angle_alpha 74.79
_cell_angle_beta 74.80
_cell_angle_gamma 30.42
_space_group_name_H-M_alt 'P 1'
_space_group_IT_number 1
_space_group_name_Hall 'P 1'
loop_
_atom_site_label
_atom_site_type_symbol
_atom_site_fract_x
_atom_site_fract_y
_atom_site_fract_z
P1 P 0.7138 0.7138 0.2862
In1 In 0.9933 0.9933 0.0067
Pt1 Pt 0.2929 0.2929 0.7071

# PBE In2PPt, optimized geometry
# Total moment = 0.00 μB per formula unit
# DFT formation energy = -214 meV per atom
# Space-group type = Pm (6)
data_In2PPt
_chemical_formula_sum 'In2 P1 Pt1'
_cell_length_a 4.3200
_cell_length_b 4.2196
_cell_length_c 5.0026
_cell_angle_alpha 67.83
_cell_angle_beta 90.00
_cell_angle_gamma 90.00
_space_group_name_H-M_alt 'P 1'
_space_group_IT_number 1
_space_group_name_Hall 'P 1'
loop_
_atom_site_label
_atom_site_type_symbol
_atom_site_fract_x
_atom_site_fract_y
_atom_site_fract_z
In1 In 0.5000 0.2886 0.3182
In2 In 0.0000 0.9499 0.9321
Pt1 Pt 0.5000 0.6393 0.7328
P1 P 0.0000 0.6223 0.5169

# PBE InP2Pt, optimized geometry
# Total moment = 0.00 μB per formula unit
# DFT formation energy = 164 meV per atom
# Space-group type = Immm (71)
data_InP2Pt
_chemical_formula_sum 'In1 P2 Pt1'
_cell_length_a 5.7512
_cell_length_b 5.7512
_cell_length_c 5.7512
_cell_angle_alpha 151.51
_cell_angle_beta 126.93
_cell_angle_gamma 61.34
_space_group_name_H-M_alt 'P 1'
_space_group_IT_number 1
_space_group_name_Hall 'P 1'
loop_
_atom_site_label
_atom_site_type_symbol
_atom_site_fract_x
_atom_site_fract_y
_atom_site_fract_z
P1 P 0.5383 0.5383 0.0000
P2 P 0.9617 0.9617 0.0000
In1 In 0.2500 0.7500 0.5000
Pt1 Pt 0.7500 0.2500 0.5000

# PBE In2PPt, optimized geometry
# Total moment = 0.00 μB per formula unit
# DFT formation energy = -77 meV per atom
# Space-group type = Pmm2 (25)
data_In2PPt
_chemical_formula_sum 'In2 P1 Pt1'
_cell_length_a 3.2585
_cell_length_b 3.2691
_cell_length_c 8.1436
_cell_angle_alpha 90.00
_cell_angle_beta 90.00
_cell_angle_gamma 90.00
_space_group_name_H-M_alt 'P 1'
_space_group_IT_number 1
_space_group_name_Hall 'P 1'
loop_
_atom_site_label
_atom_site_type_symbol
_atom_site_fract_x
_atom_site_fract_y
_atom_site_fract_z
P1 P 0.0000 0.0000 0.5748
In1 In 0.5000 0.5000 0.2902
In2 In 0.0000 0.0000 0.9546
Pt1 Pt 0.5000 0.5000 0.6804

# PBE In2PPt, optimized geometry
# Total moment = 0.00 μB per formula unit
# DFT formation energy = -216 meV per atom
# Space-group type = R3m (160)
data_In2PPt
_chemical_formula_sum 'In2 P1 Pt1'
_cell_length_a 6.7519
_cell_length_b 6.7519
_cell_length_c 6.7519
_cell_angle_alpha 35.12
_cell_angle_beta 35.12
_cell_angle_gamma 35.12
_space_group_name_H-M_alt 'P 1'
_space_group_IT_number 1
_space_group_name_Hall 'P 1'
loop_
_atom_site_label
_atom_site_type_symbol
_atom_site_fract_x
_atom_site_fract_y
_atom_site_fract_z
P1 P 0.4639 0.4639 0.4639
Pt1 Pt 0.7824 0.7824 0.7824
In1 In 0.0209 0.0209 0.0209
In2 In 0.2328 0.2328 0.2328

# PBE InPPt5, optimized geometry
# Total moment = 0.00 μB per formula unit
# DFT formation energy = -453 meV per atom
# Space-group type = P4/mmm (123)
data_InPPt5
_chemical_formula_sum 'In1 P1 Pt5'
_cell_length_a 3.9975
_cell_length_b 3.9975
_cell_length_c 7.0730
_cell_angle_alpha 90.00
_cell_angle_beta 90.00
_cell_angle_gamma 90.00
_space_group_name_H-M_alt 'P 1'
_space_group_IT_number 1
_space_group_name_Hall 'P 1'
loop_
_atom_site_label
_atom_site_type_symbol
_atom_site_fract_x
_atom_site_fract_y
_atom_site_fract_z
Pt1 Pt 0.0000 0.0000 0.0000
Pt2 Pt 0.5000 0.0000 0.7019
Pt3 Pt 0.0000 0.5000 0.7019
Pt4 Pt 0.0000 0.5000 0.2981
Pt5 Pt 0.5000 0.0000 0.2981
P1 P 0.0000 0.0000 0.5000
In1 In 0.5000 0.5000 0.0000

# PBE In2PPt, optimized geometry
# Total moment = 0.00 μB per formula unit
# DFT formation energy = 42 meV per atom
# Space-group type = I-42d (122)
data_In2PPt
_chemical_formula_sum 'In4 P2 Pt2'
_cell_length_a 6.3109
_cell_length_b 6.3109
_cell_length_c 7.0601
_cell_angle_alpha 63.45
_cell_angle_beta 63.45
_cell_angle_gamma 90.00
_space_group_name_H-M_alt 'P 1'
_space_group_IT_number 1
_space_group_name_Hall 'P 1'
loop_
_atom_site_label
_atom_site_type_symbol
_atom_site_fract_x
_atom_site_fract_y
_atom_site_fract_z
Pt1 Pt 0.7500 0.2500 0.5000
Pt2 Pt 0.0000 0.0000 0.0000
In1 In 0.8750 0.8657 0.7500
In2 In 0.6157 0.1250 0.2500
In3 In 0.3750 0.3843 0.7500
In4 In 0.1343 0.6250 0.2500
P1 P 0.5000 0.5000 0.0000
P2 P 0.2500 0.7500 0.5000